VASP calculation (PBE with a Hubbard U) on a relaxed PmV2CoO8 crystal.

Output
space-group type: P-3m1
calculated total energy: -7.275 eV/atom
M_tot: 0.0 μB per formula unit

a = 5.7347 Å, b = 5.7347 Å, c = 5.8208 Å
α = 90.00°, β = 90.00°, γ = 120.00°
Closest atoms and distances in Å follow each position.
Element x y z (fractional)
Pm 0.0000 0.0000 0.0000  6 O 2.35
V 0.6667 0.3333 0.3906  4 O 1.62-1.81
V 0.3333 0.6667 0.6094  4 O 1.62-1.81
Co 0.0000 0.0000 0.5000  6 O 1.96
O 0.8410 0.1590 0.2996  1 V 1.81, 1 Co 1.96
O 0.8410 0.6821 0.2996  1 V 1.81, 1 Co 1.96
O 0.3179 0.1590 0.2996  1 V 1.81, 1 Co 1.96
O 0.6821 0.8410 0.7004  1 V 1.81, 1 Co 1.96
O 0.3333 0.6667 0.3309  1 V 1.62
O 0.6667 0.3333 0.6691  1 V 1.62
O 0.1590 0.8410 0.7004  1 V 1.81, 1 Co 1.96
O 0.1590 0.3179 0.7004  1 V 1.81, 1 Co 1.96